No. 1
The following is a GGA-PBE calculation of a geometry-optimized Sm4HoTm3 structure, from Alexandria.

The calculated volume comes out at 32.39 A^3/atom. Its relative energy among the computed polymorphs is 0 meV/atom. The total magnetization is 0.0 μB/f.u. The density comes out at 8.16 g/cm³.

The structure belongs to space group Pmn2_1 (No. 31); the cell edges are 11.3596, 7.2740 and 6.2717 Å and the angles 90.00°, 90.00° and 90.00°. The inequivalent atoms are Sm at (0.0000, 0.1284, 0.0000), Sm at (0.0000, 0.8721, 0.4962), Sm at (0.2486, 0.8724, 0.8332), Ho at (0.0000, 0.3779, 0.5001), Tm at (0.0000, 0.6207, 0.9993) and Tm at (0.2501, 0.3787, 0.8323).

No. 2
The following is a GGA-PBE calculation of a geometry-optimized Sm3Ho8Tm2 structure, from Alexandria.

The calculated volume comes out at 31.40 A^3/atom. Its relative energy among the computed polymorphs is 0 meV/atom. The total magnetization is 0.0 μB/f.u. The density comes out at 8.58 g/cm³.

The structure belongs to space group P-1 (No. 2); the cell edges are 5.0054, 7.9259 and 10.6181 Å and the angles 94.25°, 103.63° and 90.05°. The inequivalent atoms are Sm at (0.0000, 0.0000, 0.0000), Sm at (0.4615, 0.6933, 0.9225), Ho at (0.0780, 0.6146, 0.1566), Ho at (0.1551, 0.2302, 0.3112), Ho at (0.3072, 0.4615, 0.6140), Ho at (0.3830, 0.0781, 0.7655) and Tm at (0.2311, 0.8462, 0.4623).

No. 3
The following is a GGA-PBE calculation of a geometry-optimized Sm4Ho2Tm3 structure, from Alexandria.

The calculated volume comes out at 31.81 A^3/atom. Its relative energy among the computed polymorphs is 0 meV/atom. The total magnetization is 0.0 μB/f.u. The density comes out at 8.34 g/cm³.

The structure belongs to space group C2/c (No. 15); the cell edges are 16.8509, 9.7323 and 6.9827 Å and the angles 90.00°, 90.09° and 90.00°. The inequivalent atoms are Sm at (0.0165, 0.1651, 0.0004), Sm at (0.1742, 0.3544, 0.9985), Ho at (0.1597, 0.3102, 0.4976), Tm at (0.0000, 0.4985, 0.7500) and Tm at (0.1696, 0.0006, 0.7488).

- calculated volume of number 1 (Sm4HoTm3)?
  32.39 A^3/atom